Compound: TmAgPb2
Source: the Alexandria database
Functional: PBE
Structure: optimized geometry

The structure in CIF format:
```
data_TmAgPb2
_chemical_formula_sum 'Tm1 Ag1 Pb2'
_symmetry_space_group_name_H-M 'P 4/m m m'
_symmetry_Int_Tables_number 123
_symmetry_space_group_name_Hall '-P 4 2'
_cell_length_a 4.764
_cell_length_b 4.764
_cell_length_c 4.464
_cell_angle_alpha 90.00
_cell_angle_beta 90.00
_cell_angle_gamma 90.00
loop_
_atom_site_label
_atom_site_type_symbol
_atom_site_fract_x
_atom_site_fract_y
_atom_site_fract_z
Tm1 Tm 0.000 0.000 0.000
Ag1 Ag 0.500 0.500 0.000
Pb1 Pb 0.000 0.500 0.500
```

Calculated values
E_form ... -238.8 meV per atom
Total moment ... 0.000 μB/atom

Compound: Sm12Er7Sc
Source: the Alexandria database
Functional: PBE
Structure: optimized geometry

The structure in CIF format:
```
data_Sm12Er7Sc
_chemical_formula_sum 'Sm36 Er21 Sc3'
_symmetry_space_group_name_H-M 'R -3'
_symmetry_Int_Tables_number 148
_symmetry_space_group_name_Hall '-R 3'
_cell_length_a 19.4765
_cell_length_b 19.4765
_cell_length_c 6.1217
_cell_angle_alpha 90.00
_cell_angle_beta 90.00
_cell_angle_gamma 120.00
loop_
_atom_site_label
_atom_site_type_symbol
_atom_site_fract_x
_atom_site_fract_y
_atom_site_fract_z
Sm1 Sm 0.9998 0.4137 0.9998
Sm2 Sm 0.0985 0.5490 0.4683
Er1 Er 0.0000 0.0000 0.0000
Er2 Er 0.0798 0.1601 0.3004
Sc1 Sc 0.0000 0.0000 0.5000
```

Calculated values
E_form ... 217.5 meV per atom
Offset from the most stable computed form ... 0.051 eV per atom
Total moment ... 0.000 μB/atom

Compound: LaDy2Er4
Source: the Alexandria database
Functional: PBE
Structure: optimized geometry

The structure in CIF format:
```
data_LaDy2Er4
_chemical_formula_sum 'La2 Dy4 Er8'
_symmetry_space_group_name_H-M 'P 1'
_symmetry_Int_Tables_number 1
_symmetry_space_group_name_Hall 'P 1'
_cell_length_a 7.056
_cell_length_b 8.580
_cell_length_c 8.790
_cell_angle_alpha 114.46
_cell_angle_beta 101.54
_cell_angle_gamma 101.88
loop_
_atom_site_label
_atom_site_type_symbol
_atom_site_fract_x
_atom_site_fract_y
_atom_site_fract_z
La1 La 0.000 0.000 0.000
La2 La 0.301 0.664 0.545
Dy1 Dy 0.210 0.127 0.706
Dy2 Dy 0.525 0.824 0.270
Dy3 Dy 0.801 0.665 0.536
Dy4 Dy 0.880 0.402 0.132
Er1 Er 0.026 0.826 0.278
Er2 Er 0.106 0.555 0.873
Er3 Er 0.387 0.404 0.136
Er4 Er 0.414 0.229 0.414
Er5 Er 0.501 0.002 0.000
Er6 Er 0.608 0.555 0.870
Er7 Er 0.705 0.118 0.701
Er8 Er 0.909 0.231 0.414
```

Calculated values
E_form ... 41.7 meV per atom
Offset from the most stable computed form ... 0.000 eV per atom
Total moment ... 0.000 μB/atom

Compound: Nd2Dy6Tl
Source: the Alexandria database
Functional: PBE
Structure: optimized geometry

The structure in CIF format:
```
data_Nd2Dy6Tl
_chemical_formula_sum 'Nd4 Dy12 Tl2'
_symmetry_space_group_name_H-M 'P n n m'
_symmetry_Int_Tables_number 58
_symmetry_space_group_name_Hall '-P 2 2n'
_cell_length_a 9.839
_cell_length_b 10.400
_cell_length_c 5.542
_cell_angle_alpha 90.00
_cell_angle_beta 90.00
_cell_angle_gamma 90.00
loop_
_atom_site_label
_atom_site_type_symbol
_atom_site_fract_x
_atom_site_fract_y
_atom_site_fract_z
Nd1 Nd 0.190 0.248 0.000
Dy1 Dy 0.017 0.320 0.500
Dy2 Dy 0.141 0.897 0.000
Dy3 Dy 0.179 0.574 0.000
Tl1 Tl 0.000 0.000 0.500
```

Calculated values
E_form ... 4.1 meV per atom
Total moment ... 0.000 μB/atom

Compound: Ta2AgP
Source: the Alexandria database
Functional: PBE
Structure: optimized geometry

The structure in CIF format:
```
data_Ta2AgP
_chemical_formula_sum 'Ta4 Ag2 P2'
_symmetry_space_group_name_H-M 'C m m m'
_symmetry_Int_Tables_number 65
_symmetry_space_group_name_Hall '-C 2 2'
_cell_length_a 6.012
_cell_length_b 7.028
_cell_length_c 3.095
_cell_angle_alpha 90.00
_cell_angle_beta 90.00
_cell_angle_gamma 90.00
loop_
_atom_site_label
_atom_site_type_symbol
_atom_site_fract_x
_atom_site_fract_y
_atom_site_fract_z
Ta1 Ta 0.250 0.250 0.000
Ag1 Ag 0.000 0.000 0.500
P1 P 0.000 0.500 0.500
```

Calculated values
E_form ... 142.5 meV per atom
Total moment ... 0.000 μB/atom

Compound: PrSi3IrRh
Source: the Alexandria database
Functional: PBE
Structure: optimized geometry

The structure in CIF format:
```
data_PrSi3IrRh
_chemical_formula_sum 'Pr4 Si12 Ir4 Rh4'
_symmetry_space_group_name_H-M 'C m c m'
_symmetry_Int_Tables_number 63
_symmetry_space_group_name_Hall '-C 2c 2'
_cell_length_a 6.313
_cell_length_b 12.994
_cell_length_c 5.790
_cell_angle_alpha 90.00
_cell_angle_beta 90.00
_cell_angle_gamma 90.00
loop_
_atom_site_label
_atom_site_type_symbol
_atom_site_fract_x
_atom_site_fract_y
_atom_site_fract_z
Pr1 Pr 0.000 0.215 0.250
Si1 Si 0.000 0.221 0.750
Si2 Si 0.210 0.500 0.000
Ir1 Ir 0.000 0.394 0.750
Rh1 Rh 0.000 0.051 0.750
```

Calculated values
Total moment ... 0.000 μB/atom
Raw formation energy ... -0.64 eV per atom

Compound: Zr2Si
Source: the Alexandria database
Functional: PBE
Structure: optimized geometry

The structure in CIF format:
```
data_Zr2Si
_chemical_formula_sum 'Zr2 Si1'
_symmetry_space_group_name_H-M 'P -3 m 1'
_symmetry_Int_Tables_number 164
_symmetry_space_group_name_Hall '-P 3 2"'
_cell_length_a 3.6293
_cell_length_b 3.6293
_cell_length_c 5.7286
_cell_angle_alpha 90.00
_cell_angle_beta 90.00
_cell_angle_gamma 120.00
loop_
_atom_site_label
_atom_site_type_symbol
_atom_site_fract_x
_atom_site_fract_y
_atom_site_fract_z
Zr1 Zr 0.3333 0.6667 0.2827
Si1 Si 0.0000 0.0000 0.0000
```

Calculated values
Total moment ... 0.000 μB/atom
Raw formation energy ... -0.27 eV per atom

Compound: Y2BiAu2
Source: the Alexandria database
Functional: PBE
Structure: optimized geometry

The structure in CIF format:
```
data_Y2BiAu2
_chemical_formula_sum 'Y4 Bi2 Au4'
_symmetry_space_group_name_H-M 'P 4/m b m'
_symmetry_Int_Tables_number 127
_symmetry_space_group_name_Hall '-P 4 2ab'
_cell_length_a 7.961
_cell_length_b 7.961
_cell_length_c 3.949
_cell_angle_alpha 90.00
_cell_angle_beta 90.00
_cell_angle_gamma 90.00
loop_
_atom_site_label
_atom_site_type_symbol
_atom_site_fract_x
_atom_site_fract_y
_atom_site_fract_z
Y1 Y 0.168 0.332 0.000
Bi1 Bi 0.000 0.000 0.500
Au1 Au 0.126 0.626 0.500
```

Calculated values
E_form ... -808.3 meV per atom
Offset from the most stable computed form ... 0.000 eV per atom
Total moment ... 0.000 μB/atom

Compound: Dy2BeRh3
Source: the Alexandria database
Functional: PBE
Structure: optimized geometry

The structure in CIF format:
```
data_Dy2BeRh3
_chemical_formula_sum 'Dy6 Be3 Rh9'
_symmetry_space_group_name_H-M 'R -3 m'
_symmetry_Int_Tables_number 166
_symmetry_space_group_name_Hall '-R 3 2"'
_cell_length_a 5.5364
_cell_length_b 5.5364
_cell_length_c 11.4119
_cell_angle_alpha 90.00
_cell_angle_beta 90.00
_cell_angle_gamma 120.00
loop_
_atom_site_label
_atom_site_type_symbol
_atom_site_fract_x
_atom_site_fract_y
_atom_site_fract_z
Dy1 Dy 0.0000 0.0000 0.1307
Be1 Be 0.0000 0.0000 0.5000
Rh1 Rh 0.0000 0.5000 0.0000
```

Calculated values
E_form ... -755.1 meV per atom
Total moment ... 0.000 μB/atom

Compound: CsCaMn2
Source: the Alexandria database
Functional: PBE
Structure: optimized geometry

The structure in CIF format:
```
data_CsCaMn2
_chemical_formula_sum 'Cs4 Ca4 Mn8'
_symmetry_space_group_name_H-M 'F m -3 m'
_symmetry_Int_Tables_number 225
_symmetry_space_group_name_Hall '-F 4 2 3'
_cell_length_a 8.082
_cell_length_b 8.082
_cell_length_c 8.082
_cell_angle_alpha 90.00
_cell_angle_beta 90.00
_cell_angle_gamma 90.00
loop_
_atom_site_label
_atom_site_type_symbol
_atom_site_fract_x
_atom_site_fract_y
_atom_site_fract_z
Cs1 Cs 0.000 0.000 0.000
Ca1 Ca 0.000 0.000 0.500
Mn1 Mn 0.250 0.250 0.250
```

Calculated values
E_form ... 1095.2 meV per atom
Total moment ... 2.033 μB/atom

Compound: SiAgP2
Source: the Alexandria database
Functional: PBE
Structure: optimized geometry

The structure in CIF format:
```
data_SiAgP2
_chemical_formula_sum 'Si1 Ag1 P2'
_symmetry_space_group_name_H-M 'P 1 2/m 1'
_symmetry_Int_Tables_number 10
_symmetry_space_group_name_Hall '-P 2y'
_cell_length_a 4.206
_cell_length_b 3.480
_cell_length_c 4.922
_cell_angle_alpha 90.00
_cell_angle_beta 107.21
_cell_angle_gamma 90.00
loop_
_atom_site_label
_atom_site_type_symbol
_atom_site_fract_x
_atom_site_fract_y
_atom_site_fract_z
Si1 Si 0.000 0.000 0.000
Ag1 Ag 0.500 0.000 0.500
P1 P 0.277 0.500 0.813
```

Calculated values
Total moment ... 0.000 μB/atom
Raw formation energy ... 0.19 eV per atom

Compound: BaSm3Hg4
Source: the Alexandria database
Functional: PBE
Structure: optimized geometry

The structure in CIF format:
```
data_BaSm3Hg4
_chemical_formula_sum 'Ba1 Sm3 Hg4'
_symmetry_space_group_name_H-M 'P 4/m m m'
_symmetry_Int_Tables_number 123
_symmetry_space_group_name_Hall '-P 4 2'
_cell_length_a 5.468
_cell_length_b 5.468
_cell_length_c 7.870
_cell_angle_alpha 90.00
_cell_angle_beta 90.00
_cell_angle_gamma 90.00
loop_
_atom_site_label
_atom_site_type_symbol
_atom_site_fract_x
_atom_site_fract_y
_atom_site_fract_z
Ba1 Ba 0.000 0.000 0.000
Sm1 Sm 0.000 0.000 0.500
Sm2 Sm 0.500 0.500 0.000
Sm3 Sm 0.500 0.500 0.500
Hg1 Hg 0.000 0.500 0.271
```

Calculated values
E_form ... -424.5 meV per atom
Total moment ... 0.057 μB/atom

Compound: NaLi2AlF6
Source: the Alexandria database
Functional: PBE
Structure: optimized geometry

The structure in CIF format:
```
data_NaLi2AlF6
_chemical_formula_sum 'Na3 Li6 Al3 F18'
_symmetry_space_group_name_H-M 'R 3'
_symmetry_Int_Tables_number 146
_symmetry_space_group_name_Hall 'R 3'
_cell_length_a 5.1546
_cell_length_b 5.1546
_cell_length_c 14.1247
_cell_angle_alpha 90.00
_cell_angle_beta 90.00
_cell_angle_gamma 120.00
loop_
_atom_site_label
_atom_site_type_symbol
_atom_site_fract_x
_atom_site_fract_y
_atom_site_fract_z
Na1 Na 0.0000 0.0000 0.0000
Li1 Li 0.0000 0.0000 0.2089
Li2 Li 0.0000 0.0000 0.7185
Al1 Al 0.0000 0.0000 0.5123
F1 F 0.0344 0.3653 0.1095
F2 F 0.0656 0.6920 0.2594
```

Calculated values
Offset from the most stable computed form ... 0.000 eV per atom
Total moment ... 0.000 μB/atom
Raw formation energy ... -3.18 eV per atom

Compound: NaNdNb4N8
Source: the Alexandria database
Functional: PBE
Structure: optimized geometry

The structure in CIF format:
```
data_NaNdNb4N8
_chemical_formula_sum 'Na3 Nd3 Nb12 N24'
_symmetry_space_group_name_H-M 'R 3 m'
_symmetry_Int_Tables_number 160
_symmetry_space_group_name_Hall 'R 3 -2"'
_cell_length_a 6.3948
_cell_length_b 6.3948
_cell_length_c 16.3370
_cell_angle_alpha 90.00
_cell_angle_beta 90.00
_cell_angle_gamma 120.00
loop_
_atom_site_label
_atom_site_type_symbol
_atom_site_fract_x
_atom_site_fract_y
_atom_site_fract_z
Na1 Na 0.0000 0.0000 0.0000
Nd1 Nd 0.0000 0.0000 0.3812
Nb1 Nb 0.0000 0.0000 0.6275
Nb2 Nb 0.1725 0.3450 0.8348
N1 N 0.0000 0.0000 0.2396
N2 N 0.0000 0.0000 0.7658
N3 N 0.0125 0.5062 0.2456
N4 N 0.0410 0.5205 0.7731
```

Calculated values
Total moment ... 0.000 μB/atom
Raw formation energy ... -0.74 eV per atom

Compound: Tl3In4Sn4
Source: the Alexandria database
Functional: PBE
Structure: optimized geometry

The structure in CIF format:
```
data_Tl3In4Sn4
_chemical_formula_sum 'Tl6 In8 Sn8'
_symmetry_space_group_name_H-M 'C 1 2/m 1'
_symmetry_Int_Tables_number 12
_symmetry_space_group_name_Hall '-C 2y'
_cell_length_a 26.170
_cell_length_b 5.456
_cell_length_c 4.564
_cell_angle_alpha 90.00
_cell_angle_beta 91.04
_cell_angle_gamma 90.00
loop_
_atom_site_label
_atom_site_type_symbol
_atom_site_fract_x
_atom_site_fract_y
_atom_site_fract_z
Tl1 Tl 0.000 0.000 0.000
Tl2 Tl 0.138 0.500 0.820
In1 In 0.092 0.000 0.526
In2 In 0.238 0.500 0.321
Sn1 Sn 0.042 0.500 0.290
Sn2 Sn 0.184 0.000 0.145
```

Calculated values
E_form ... 66.8 meV per atom
Offset from the most stable computed form ... 0.010 eV per atom
Total moment ... 0.000 μB/atom

Compound: Er3AlSn3
Source: the Alexandria database
Functional: PBE
Structure: optimized geometry

The structure in CIF format:
```
data_Er3AlSn3
_chemical_formula_sum 'Er6 Al2 Sn6'
_symmetry_space_group_name_H-M 'P 63/m'
_symmetry_Int_Tables_number 176
_symmetry_space_group_name_Hall '-P 6c'
_cell_length_a 8.6033
_cell_length_b 8.6033
_cell_length_c 5.6199
_cell_angle_alpha 90.00
_cell_angle_beta 90.00
_cell_angle_gamma 120.00
loop_
_atom_site_label
_atom_site_type_symbol
_atom_site_fract_x
_atom_site_fract_y
_atom_site_fract_z
Er1 Er 0.0932 0.4509 0.2500
Al1 Al 0.3333 0.6667 0.7500
Sn1 Sn 0.0604 0.2656 0.7500
```

Calculated values
E_form ... -359.7 meV per atom
Total moment ... 0.000 μB/atom

Compound: Hg2HBr
Source: the Alexandria database
Functional: PBE
Structure: optimized geometry

The structure in CIF format:
```
data_Hg2HBr
_chemical_formula_sum 'Hg4 H2 Br2'
_symmetry_space_group_name_H-M 'P -1'
_symmetry_Int_Tables_number 2
_symmetry_space_group_name_Hall '-P 1'
_cell_length_a 4.440
_cell_length_b 5.241
_cell_length_c 9.870
_cell_angle_alpha 88.28
_cell_angle_beta 87.27
_cell_angle_gamma 89.02
loop_
_atom_site_label
_atom_site_type_symbol
_atom_site_fract_x
_atom_site_fract_y
_atom_site_fract_z
Hg1 Hg 0.111 0.390 0.205
Hg2 Hg 0.268 0.760 0.479
H1 H 0.327 0.156 0.259
Br1 Br 0.247 0.261 0.869
```

Calculated values
Offset from the most stable computed form ... 0.000 eV per atom
Total moment ... 0.000 μB/atom

Compound: TiBe3P
Source: the Alexandria database
Functional: PBE
Structure: optimized geometry

The structure in CIF format:
```
data_TiBe3P
_chemical_formula_sum 'Ti1 Be3 P1'
_symmetry_space_group_name_H-M 'P m -3 m'
_symmetry_Int_Tables_number 221
_symmetry_space_group_name_Hall '-P 4 2 3'
_cell_length_a 4.042
_cell_length_b 4.042
_cell_length_c 4.042
_cell_angle_alpha 90.00
_cell_angle_beta 90.00
_cell_angle_gamma 90.00
loop_
_atom_site_label
_atom_site_type_symbol
_atom_site_fract_x
_atom_site_fract_y
_atom_site_fract_z
Ti1 Ti 0.000 0.000 0.000
Be1 Be 0.000 0.500 0.500
P1 P 0.500 0.500 0.500
```

Calculated values
E_form ... 630.2 meV per atom
Offset from the most stable computed form ... 0.000 eV per atom
Total moment ... 0.000 μB/atom

Compound: La4SiAuBr2
Source: the Alexandria database
Functional: PBE
Structure: optimized geometry

The structure in CIF format:
```
data_La4SiAuBr2
_chemical_formula_sum 'La4 Si1 Au1 Br2'
_symmetry_space_group_name_H-M 'P 1 2/m 1'
_symmetry_Int_Tables_number 10
_symmetry_space_group_name_Hall '-P 2y'
_cell_length_a 7.564
_cell_length_b 4.336
_cell_length_c 7.817
_cell_angle_alpha 90.00
_cell_angle_beta 108.67
_cell_angle_gamma 90.00
loop_
_atom_site_label
_atom_site_type_symbol
_atom_site_fract_x
_atom_site_fract_y
_atom_site_fract_z
La1 La 0.227 0.000 0.248
La2 La 0.229 0.500 0.733
Si1 Si 0.000 0.000 0.500
Au1 Au 0.000 0.500 0.000
Br1 Br 0.500 0.000 0.000
Br2 Br 0.500 0.500 0.500
```

Calculated values
Total moment ... 0.000 μB/atom
Raw formation energy ... -1.08 eV per atom

Compound: KSi2Se4
Source: the Alexandria database
Functional: PBE
Structure: optimized geometry

The structure in CIF format:
```
data_KSi2Se4
_chemical_formula_sum 'K2 Si4 Se8'
_symmetry_space_group_name_H-M 'I 4/m m m'
_symmetry_Int_Tables_number 139
_symmetry_space_group_name_Hall '-I 4 2'
_cell_length_a 5.710
_cell_length_b 5.710
_cell_length_c 15.941
_cell_angle_alpha 90.00
_cell_angle_beta 90.00
_cell_angle_gamma 90.00
loop_
_atom_site_label
_atom_site_type_symbol
_atom_site_fract_x
_atom_site_fract_y
_atom_site_fract_z
K1 K 0.000 0.000 0.000
Si1 Si 0.000 0.000 0.429
Se1 Se 0.000 0.000 0.297
Se2 Se 0.000 0.500 0.000
```

Calculated values
Offset from the most stable computed form ... 0.752 eV per atom
Total moment ... 0.122 μB/atom
Raw formation energy ... 0.20 eV per atom